ReAg2F: relaxed, PBE.

Structure (CIF):
```
data_ReAg2F
_chemical_formula_sum 'Re4 Ag8 F4'
_symmetry_space_group_name_H-M 'F m -3 m'
_symmetry_Int_Tables_number 225
_symmetry_space_group_name_Hall '-F 4 2 3'
_cell_length_a 6.4748
_cell_length_b 6.4748
_cell_length_c 6.4748
_cell_angle_alpha 90.00
_cell_angle_beta 90.00
_cell_angle_gamma 90.00
loop_
_atom_site_label
_atom_site_fract_x
_atom_site_fract_y
_atom_site_fract_z
Re1 0.0000 0.0000 0.0000
Ag1 0.2500 0.2500 0.2500
F1 0.0000 0.0000 0.5000
```

N(E_F): 1.69 states/eV/f.u.
uncorrected formation energy: 0.791 eV per atom
magnetic moment: 3.902 μB per formula unit